(1)
## Pm4InAg2 (PBE)

Data for an optimized crystal structure of Pm4InAg2.

abc: 5.2772 5.2772 25.1651
angles: 90.00 90.00 120.00
With the nearest neighbours (Å) after each atom.
Space group R-3m (No. 166, hexagonal axes)
Asymmetric unit:
Pm 0.0000 0.0000 0.1143 [6 per cell]  4 Ag 3.10-3.21, 3 In 3.32
Pm 0.0000 0.0000 0.3689 [6 per cell]  4 Ag 3.20-3.35, 1 In 3.30, 3 Pm 3.53
In 0.0000 0.0000 0.5000 [3 per cell]  8 Pm 3.30-3.32, 6 Ag 3.59
Ag 0.0000 0.0000 0.2419 [6 per cell]  8 Pm 3.10-3.35

## Properties
* relative energy among the computed polymorphs: 0.0 meV/atom
* E_form: -0.1953 eV/atom

---

(2)
## Y5Mg2Fe2 (PBE)

Data for an optimized crystal structure of Y5Mg2Fe2.

abc: 17.7702 7.2019 7.2651
angles: 90.00 90.00 90.00
With the nearest neighbours (Å) after each atom.
Space group Cmce (No. 64)
Asymmetric unit:
Y 0.0000 0.0000 0.0000 [4 per cell]  4 Fe 2.96
Y 0.1151 0.1879 0.3134 [16 per cell]  3 Fe 2.95-3.01
Mg 0.2326 0.0000 0.0000 [8 per cell]  6 Y 3.31-3.37, 4 Mg 3.65-3.68
Fe 0.0000 0.1031 0.6056 [8 per cell]  1 Fe 2.14

## Properties
* E_form: 0.0051 eV/atom

---

(3)
## Cs2Tm2PtO6 (PBE)

Data for an optimized crystal structure of Cs2Tm2PtO6.

abc: 5.8282 10.0158 7.1777
angles: 90.00 104.59 90.00
With the nearest neighbours (Å) after each atom.
Space group C2/m (No. 12)
Asymmetric unit:
Cs 0.0000 0.1658 0.0000 [4 per cell]  6 O 3.01-3.17, 3 Cs 3.32-3.37
Tm 0.0000 0.3347 0.5000 [4 per cell]  6 O 2.26-2.27
Pt 0.0000 0.0000 0.5000 [2 per cell]  6 O 2.11-2.12
O 0.2050 0.1581 0.6542 [8 per cell]  1 Pt 2.12, 2 Tm 2.26-2.27
O 0.2364 0.5000 0.6553 [4 per cell]  1 Pt 2.11, 2 Tm 2.26

## Properties
* formation energy from raw total energies: -23.4 eV per formula unit

---

(4)
## Cs3Cd2Hg3 (PBE)

Data for an optimized crystal structure of Cs3Cd2Hg3.

abc: 5.3890 13.9635 18.3770
angles: 90.00 90.00 90.00
With the nearest neighbours (Å) after each atom.
Space group Cmcm (No. 63)
Asymmetric unit:
Cs 0.0000 0.0729 0.1042 [8 per cell]  7 Hg 3.90-4.19, 4 Cd 3.95-4.18, 1 Cs 4.34
Cs 0.0000 0.3737 0.2500 [4 per cell]  5 Hg 3.85-4.16, 4 Cd 4.16
Cd 0.0000 0.2205 0.5935 [8 per cell]  4 Hg 3.07-3.25
Hg 0.0000 0.3283 0.7500 [4 per cell]  2 Cd 3.25
Hg 0.0000 0.3593 0.0405 [8 per cell]  3 Cd 3.07-3.13

## Properties
* E_form: -0.1861 eV/atom

---

(5)
## YNb3B (PBE)

Data for an optimized crystal structure of YNb3B.

abc: 4.8856 4.8856 4.8856
angles: 90.00 90.00 90.00
With the nearest neighbours (Å) after each atom.
Space group Pm-3m (No. 221)
Asymmetric unit:
Y 0.0000 0.0000 0.0000 [1 per cell]  6 Nb 2.44
Nb 0.0000 0.0000 0.5000 [3 per cell]  2 Y 2.44
B 0.5000 0.5000 0.5000 [1 per cell]  12 Nb 3.45

## Properties
* relative energy among the computed polymorphs: 2762.6 meV/atom
* E_form: 2.8894 eV/atom

---

(6)
## CrRhCl6 (PBE)

Data for an optimized crystal structure of CrRhCl6.

abc: 5.8840 11.9400 5.8897
angles: 90.00 108.11 90.00
With the nearest neighbours (Å) after each atom.
Space group C2/m (No. 12)
Asymmetric unit:
Cr 0.0000 0.0000 0.0000 [2 per cell]  6 Cl 2.36-2.39
Rh 0.0000 0.5000 0.5000 [2 per cell]  6 Cl 2.37-2.38
Cl 0.2448 0.0000 0.7444 [4 per cell]  1 Rh 2.38, 1 Cr 2.39
Cl 0.2494 0.3648 0.7528 [8 per cell]  1 Cr 2.36, 1 Rh 2.37

## Properties
* formation energy from raw total energies: -5.7 eV per formula unit

---

(7)
## CePuTcNi (PBE)

Data for an optimized crystal structure of CePuTcNi.

abc: 6.7850 6.7850 6.7850
angles: 90.00 90.00 90.00
With the nearest neighbours (Å) after each atom.
Space group F-43m (No. 216)
Asymmetric unit:
Ce 0.0000 0.0000 0.0000 [4 per cell]  4 Tc 2.94, 4 Ni 2.94
Pu 0.0000 0.0000 0.5000 [4 per cell]  4 Ni 2.94, 4 Tc 2.94
Tc 0.2500 0.2500 0.2500 [4 per cell]  4 Pu 2.94, 4 Ce 2.94
Ni 0.2500 0.2500 0.7500 [4 per cell]  4 Ce 2.94, 4 Pu 2.94

## Properties
* E_form: -0.0254 eV/atom

---

(8)
## SmPa2N3 (PBE)

Data for an optimized crystal structure of SmPa2N3.

abc: 3.5163 5.0061 10.5360
angles: 90.00 90.00 90.00
With the nearest neighbours (Å) after each atom.
Space group Immm (No. 71)
Asymmetric unit:
Sm 0.0000 0.0000 0.0000 [2 per cell]  6 N 2.50-2.57
Pa 0.0000 0.0000 0.3353 [4 per cell]  6 N 2.41-2.51
N 0.0000 0.5000 0.0000 [2 per cell]  4 Pa 2.47, 2 Sm 2.50
N 0.0000 0.5000 0.3216 [4 per cell]  4 Pa 2.41-2.51, 2 Sm 2.57

## Properties
* relative energy among the computed polymorphs: 0.0 meV/atom
* formation energy from raw total energies: -9.6 eV per formula unit

---

(9)
## Li4Ag7Au (PBE)

Data for an optimized crystal structure of Li4Ag7Au.

abc: 10.2862 5.1443 9.7811
angles: 90.00 115.54 90.00
With the nearest neighbours (Å) after each atom.
Space group C2/m (No. 12)
Asymmetric unit:
Li 0.0911 0.0000 0.3008 [4 per cell]  5 Ag 2.68-2.93
Li 0.1262 0.5000 0.7817 [4 per cell]  5 Ag 2.73-2.94, 1 Au 2.94
Ag 0.0000 0.0000 0.0000 [2 per cell]  2 Au 2.57, 2 Li 2.68, 2 Ag 2.68
Ag 0.1299 0.5000 0.4828 [4 per cell]  5 Li 2.73-3.05, 4 Ag 2.81-2.83
Ag 0.1460 0.0000 0.6087 [4 per cell]  5 Ag 2.73-2.84, 2 Li 2.81-2.93
Ag 0.2131 0.0000 0.9111 [4 per cell]  2 Ag 2.68-2.73, 1 Au 2.69, 4 Li 2.73-2.91
Au 0.0000 0.5000 0.0000 [2 per cell]  4 Ag 2.57-2.69

## Properties
* E_form: -0.0156 eV/atom

---

(10)
## Nd5AgRh2 (PBE)

Data for an optimized crystal structure of Nd5AgRh2.

abc: 7.9703 7.9703 13.7710
angles: 90.00 90.00 90.00
With the nearest neighbours (Å) after each atom.
Space group I4/mcm (No. 140)
Asymmetric unit:
Nd 0.0000 0.0000 0.0000 [4 per cell]  4 Rh 3.09, 2 Ag 3.44
Nd 0.1619 0.3381 0.1357 [16 per cell]  3 Rh 2.94-3.03
Ag 0.0000 0.0000 0.2500 [4 per cell]  10 Nd 3.38-3.44
Rh 0.1369 0.3631 0.5000 [8 per cell]  8 Nd 2.94-3.09, 1 Rh 3.09

## Properties
* E_form: -0.4627 eV/atom